First-principles (PBE-GGA) data for MnIr9W2 after structural relaxation, as listed in Alexandria.

energy of formation: -165 kJ/mol of formula units
SG: P-1, No. 2
total DFT energy (no corrections): -9.711 eV/atom

abc: 4.764 6.122 6.137
angles: 84.26 82.67 82.98
Element x y z (fractional)
Mn 0.000 0.000 0.000
Ir 0.001 0.678 0.327
Ir 0.247 0.587 0.917
Ir 0.249 0.241 0.257
Ir 0.495 0.167 0.831
Ir 0.500 0.500 0.500
Ir 0.505 0.833 0.169
Ir 0.751 0.759 0.743
Ir 0.753 0.413 0.083
Ir 0.999 0.322 0.673
W 0.251 0.909 0.589
W 0.749 0.091 0.411